1.
## AcAlHg (GGA-PBE)

Data for a relaxed AcAlHg crystal.

Unit cell a=8.679 b=11.206 c=14.152 alpha=90.00 beta=90.00 gamma=90.00
Space group Fddd (No. 70, origin choice 2)
Asymmetric unit:
1 Ac 0.000 0.000 0.000
2 Al 0.125 0.001 0.625
3 Hg 0.125 0.125 0.455

Calculated values
The spin magnetization is 0.001 μB per formula unit. The volume is 86 Å³/f.u.

2.
## AcAlHg (GGA-PBE)

Data for a relaxed AcAlHg crystal.

Unit cell a=7.217 b=7.217 c=7.217 alpha=90.00 beta=90.00 gamma=90.00
Space group F-43m (No. 216)
Asymmetric unit:
1 Ac 0.000 0.000 0.000
2 Al 0.000 0.000 0.500
3 Hg 0.250 0.250 0.750

Calculated values
The spin magnetization is 0.000 μB per formula unit. The volume is 94 Å³/f.u.

3.
## AcAlHg (GGA-PBE)

Data for a relaxed AcAlHg crystal.

Unit cell a=4.8384 b=4.8384 c=4.1802 alpha=90.00 beta=90.00 gamma=120.00
Space group P-6m2 (No. 187)
Asymmetric unit:
1 Ac 0.0000 0.0000 0.0000
2 Al 0.3333 0.6667 0.5000
3 Hg 0.6667 0.3333 0.5000

Calculated values
The spin magnetization is 0.000 μB per formula unit. The volume is 85 Å³/f.u.

Energy relative to the most stable one, in meV/atom: 1 194; 2 152; 3 0

1.
## Ac3AlHg2 (GGA-PBE)

Data for a relaxed Ac3AlHg2 crystal.

Unit cell a=4.000 b=4.000 c=12.128 alpha=90.00 beta=90.00 gamma=90.00
Space group P4/mmm (No. 123)
Asymmetric unit:
1 Ac 0.000 0.000 0.000
2 Ac 0.000 0.000 0.342
3 Al 0.500 0.500 0.500
4 Hg 0.500 0.500 0.170

Calculated values
The spin magnetization is 0.239 μB per formula unit. The volume is 194 Å³/f.u.

2.
## Ac3AlHg2 (GGA-PBE)

Data for a relaxed Ac3AlHg2 crystal.

Unit cell a=5.6769 b=5.6769 c=14.0142 alpha=90.00 beta=90.00 gamma=120.00
Space group P-3m1 (No. 164)
Asymmetric unit:
1 Ac 0.0000 0.0000 0.2458
2 Ac 0.3333 0.6667 0.4130
3 Ac 0.3333 0.6667 0.9175
4 Al 0.3333 0.6667 0.1650
5 Hg 0.0000 0.0000 0.0000
6 Hg 0.0000 0.0000 0.5000
7 Hg 0.3333 0.6667 0.6687

Calculated values
The spin magnetization is 0.003 μB per formula unit. The volume is 196 Å³/f.u.

Energy relative to the most stable one, in meV/atom: 1 0; 2 18

1.
## AcAl2Hg2 (GGA-PBE)

Data for a relaxed AcAl2Hg2 crystal.

Unit cell a=4.644 b=4.644 c=11.186 alpha=90.00 beta=90.00 gamma=90.00
Space group P4/nmm (No. 129, origin choice 2)
Asymmetric unit:
1 Ac 0.250 0.250 0.250
2 Al 0.250 0.250 0.633
3 Al 0.250 0.750 0.000
4 Hg 0.250 0.250 0.869
5 Hg 0.250 0.750 0.500

Calculated values
The spin magnetization is 0.000 μB per formula unit. The volume is 121 Å³/f.u.

2.
## AcAl2Hg2 (GGA-PBE)

Data for a relaxed AcAl2Hg2 crystal.

Unit cell a=4.428 b=4.428 c=6.285 alpha=90.00 beta=90.00 gamma=90.00
Space group P4/mmm (No. 123)
Asymmetric unit:
1 Ac 0.000 0.000 0.000
2 Al 0.000 0.500 0.500
3 Hg 0.500 0.500 0.229

Calculated values
The spin magnetization is 0.000 μB per formula unit. The volume is 123 Å³/f.u.

Energy relative to the most stable one, in meV/atom: 1 0; 2 110

1.
## Ac3AlHg (GGA-PBE)

Data for a relaxed Ac3AlHg crystal.

Unit cell a=4.276 b=9.128 c=9.416 alpha=87.55 beta=89.96 gamma=76.51
Space group P-1 (No. 2)
Asymmetric unit:
1 Ac 0.055 0.389 0.206
2 Ac 0.237 0.026 0.815
3 Ac 0.402 0.694 0.426
4 Al 0.217 0.068 0.438
5 Hg 0.402 0.696 0.060

Calculated values
The spin magnetization is 0.000 μB per formula unit. The volume is 179 Å³/f.u.

2.
## Ac3AlHg (GGA-PBE)

Data for a relaxed Ac3AlHg crystal.

Unit cell a=5.725 b=21.219 c=5.742 alpha=90.00 beta=90.00 gamma=90.00
Space group Cmcm (No. 63)
Asymmetric unit:
1 Ac 0.000 0.062 0.250
2 Ac 0.000 0.247 0.250
3 Ac 0.000 0.430 0.250
4 Al 0.000 0.155 0.750
5 Hg 0.000 0.344 0.750

Calculated values
The spin magnetization is 0.000 μB per formula unit. The volume is 174 Å³/f.u.

Energy relative to the most stable one, in meV/atom: 1 0; 2 24